{"formula": "Li2Mo2O7", "functional": "PBE with a Hubbard U", "state": "relaxed", "e_tot_ev_per_atom": -6.586, "e_above_lowest_polymorph_mev_per_atom": 0, "magmom_total_mub_per_fu": 0.000, "dos_ef_per_ev_fu": 0.00, "cell": [[-3.724, -3.664, -2.487], [4.547, -3.333, -1.299], [-1.492, -0.975, 10.659]], "species": ["O", "O", "O", "O", "O", "O", "O", "O", "O", "O", "O", "O", "O", "O", "Li", "Li", "Li", "Li", "Mo", "Mo", "Mo", "Mo"], "frac_coords": [[0.421, 0.374, 0.361], [0.605, 0.903, 0.396], [0.626, 0.579, 0.139], [0.097, 0.395, 0.104], [0.311, 0.966, 0.123], [0.034, 0.689, 0.377], [0.689, 0.034, 0.877], [0.921, 0.079, 0.250], [0.079, 0.921, 0.750], [0.374, 0.421, 0.861], [0.395, 0.097, 0.604], [0.966, 0.311, 0.623], [0.579, 0.626, 0.639], [0.903, 0.605, 0.896], [0.731, 0.395, 0.976], [0.269, 0.605, 0.024], [0.605, 0.269, 0.524], [0.395, 0.731, 0.476], [0.191, 0.210, 0.210], [0.210, 0.191, 0.710], [0.809, 0.790, 0.790], [0.790, 0.809, 0.290]]}